LiNbCrSn | PBE-GGA | relaxed

## Properties
As for the total energy: -6.36 eV per atom. As for the energy relative to the elements: 0.04 eV/atom. For the total magnetization, the calculation gives 7.8 μB per cell.

abc: 6.365 6.365 6.365
angles: 90.00 90.00 90.00
Element x y z (fractional)
Li1 0.000 0.000 0.000
Li2 0.000 0.500 0.500
Li3 0.500 0.000 0.500
Li4 0.500 0.500 0.000
Nb1 0.250 0.250 0.750
Nb2 0.250 0.750 0.250
Nb3 0.750 0.250 0.250
Nb4 0.750 0.750 0.750
Cr1 0.000 0.000 0.500
Cr2 0.000 0.500 0.000
Cr3 0.500 0.000 0.000
Cr4 0.500 0.500 0.500
Sn1 0.250 0.250 0.250
Sn2 0.250 0.750 0.750
Sn3 0.750 0.250 0.750
Sn4 0.750 0.750 0.250